Version P
Density functional theory data (PBE) for a relaxed structure of ErPuHgOs.

Unit cell a=5.0041 b=5.0041 c=5.0041 alpha=60.00 beta=60.00 gamma=60.00
Closest atoms and distances in Å follow each position.
Atoms (fractional coordinates):
1 Pu 0.5000 0.5000 0.5000  4 Hg 3.06, 4 Os 3.06
2 Os 0.7500 0.7500 0.7500  4 Pu 3.06, 4 Er 3.06
3 Hg 0.2500 0.2500 0.2500  4 Er 3.06, 4 Pu 3.06
4 Er 0.0000 0.0000 0.0000  4 Hg 3.06, 4 Os 3.06

## Properties
density of states at the Fermi level	10.26	states/eV/cell
symmetry	F-43m
crystal system	cubic



Version Q
Density functional theory data (PBE) for a relaxed structure of ErPuHgOs.

Unit cell a=3.3113 b=3.3113 c=8.1985 alpha=90.00 beta=90.00 gamma=90.00
Closest atoms and distances in Å follow each position.
Atoms (fractional coordinates):
1 Os 0.0000 0.0000 0.5741  4 Er 2.90, 4 Pu 2.92
2 Pu 0.5000 0.5000 0.3616  4 Os 2.92
3 Hg 0.0000 0.0000 0.0651  4 Er 3.29, 4 Hg 3.31, 4 Pu 3.38
4 Er 0.5000 0.5000 0.7838  4 Os 2.90

## Properties
density of states at the Fermi level	7.22	states/eV/cell
symmetry	P4mm
crystal system	tetragonal



Energy comparison, zero being the most stable, in meV/atom: version P 178; version Q 0.



Version P
Density functional theory data (PBE) for a relaxed structure of ErPaHg2.

Unit cell a=4.4593 b=4.7357 c=4.7357 alpha=90.00 beta=90.00 gamma=90.00
Closest atoms and distances in Å follow each position.
Atoms (fractional coordinates):
1 Hg 0.0000 0.5000 0.0000  4 Pa 3.25, 4 Er 3.25, 4 Hg 3.35
2 Hg 0.0000 0.0000 0.5000  4 Pa 3.25, 4 Er 3.25, 4 Hg 3.35
3 Pa 0.5000 0.5000 0.5000  8 Hg 3.25, 4 Er 3.35
4 Er 0.5000 0.0000 0.0000  8 Hg 3.25, 4 Pa 3.35

## Properties
density of states at the Fermi level	6.65	states/eV/cell
symmetry	P4/mmm
crystal system	tetragonal



Version Q
Density functional theory data (PBE) for a relaxed structure of ErPaHg2.

Unit cell a=3.3333 b=3.3333 c=8.8199 alpha=90.00 beta=90.00 gamma=90.00
Closest atoms and distances in Å follow each position.
Atoms (fractional coordinates):
1 Pa 0.5000 0.5000 0.5000  8 Hg 3.28, 4 Pa 3.33
2 Hg 0.0000 0.0000 0.7587  4 Er 3.18, 4 Pa 3.28, 4 Hg 3.33
3 Hg 0.0000 0.0000 0.2413  4 Er 3.18, 4 Pa 3.28, 4 Hg 3.33
4 Er 0.5000 0.5000 0.0000  8 Hg 3.18, 4 Er 3.33

## Properties
density of states at the Fermi level	5.81	states/eV/cell
symmetry	P4/mmm
crystal system	tetragonal



Energy comparison, zero being the most stable, in meV/atom: version P 121; version Q 0.



Version P
Density functional theory data (PBE) for a relaxed structure of Er4Hg3Pb.

Unit cell a=3.9891 b=4.6578 c=11.5156 alpha=90.00 beta=90.00 gamma=90.00
Closest atoms and distances in Å follow each position.
Atoms (fractional coordinates):
1 Hg 0.0000 0.5000 0.5905  7 Er 3.04-3.27, 2 Hg 3.12
2 Hg 0.5000 0.0000 0.9037  5 Er 3.05-3.12, 2 Pb 3.16
3 Hg 0.0000 0.0000 0.4106  7 Er 3.04-3.30, 2 Hg 3.12
4 Er 0.0000 0.5000 0.8544  5 Hg 3.04-3.12, 2 Pb 3.36
5 Er 0.5000 0.0000 0.6390  7 Hg 3.05-3.30
6 Er 0.5000 0.5000 0.3660  6 Hg 3.11-3.27, 1 Pb 3.19
7 Er 0.0000 0.0000 0.1470  1 Hg 3.04, 4 Pb 3.14
8 Pb 0.5000 0.5000 0.0888  7 Er 3.14-3.36, 2 Hg 3.16

## Properties
density of states at the Fermi level	6.43	states/eV/cell
symmetry	Pmm2
crystal system	orthorhombic



Version Q
Density functional theory data (PBE) for a relaxed structure of Er4Hg3Pb.

Unit cell a=5.2689 b=7.4142 c=10.5418 alpha=90.00 beta=90.00 gamma=90.00
Closest atoms and distances in Å follow each position.
Atoms (fractional coordinates):
1 Er 0.9997 0.7560 0.7500  6 Hg 3.20-3.25, 2 Pb 3.25
2 Er 0.5000 0.7560 0.0000  6 Hg 3.20-3.25, 2 Pb 3.25
3 Er 0.5000 0.2440 0.5000  6 Hg 3.20-3.25, 2 Pb 3.25
4 Er 0.9997 0.2440 0.7500  6 Hg 3.20-3.25, 2 Pb 3.25
5 Er 0.5000 0.7560 0.5000  6 Hg 3.20-3.25, 2 Pb 3.25
6 Er 0.0003 0.7560 0.2500  6 Hg 3.20-3.25, 2 Pb 3.25
7 Er 0.0003 0.2440 0.2500  6 Hg 3.20-3.25, 2 Pb 3.25
8 Er 0.5000 0.2440 0.0000  6 Hg 3.20-3.25, 2 Pb 3.25
9 Hg 0.4993 0.5000 0.7500  8 Er 3.25
10 Hg 0.5003 0.0000 0.2500  8 Er 3.20
11 Hg 0.4997 0.0000 0.7500  8 Er 3.20
12 Hg 0.0000 0.0000 0.0000  8 Er 3.20
13 Hg 0.0000 0.0000 0.5000  8 Er 3.20
14 Hg 0.5007 0.5000 0.2500  8 Er 3.25
15 Pb 0.0000 0.5000 0.0000  8 Er 3.25
16 Pb 0.0000 0.5000 0.5000  8 Er 3.25

## Properties
density of states at the Fermi level	15.44	states/eV/cell
symmetry	P4/mmm
crystal system	tetragonal



Energy comparison, zero being the most stable, in meV/atom: version P 26; version Q 0.



Version P
Density functional theory data (PBE) for a relaxed structure of Er2Hg4Pb.

Unit cell a=5.1513 b=5.1513 c=8.2903 alpha=71.90 beta=71.90 gamma=60.00
Closest atoms and distances in Å follow each position.
Atoms (fractional coordinates):
1 Er 0.7235 0.7235 0.8295  4 Hg 3.09-3.13, 3 Pb 3.25
2 Er 0.2765 0.2765 0.1705  4 Hg 3.09-3.13, 3 Pb 3.25
3 Hg 0.5737 0.5737 0.2789  3 Er 3.09, 4 Hg 3.18-3.42
4 Hg 0.8583 0.8583 0.4250  1 Er 3.13, 6 Hg 3.18-3.19, 1 Pb 3.29
5 Hg 0.4263 0.4263 0.7211  3 Er 3.09, 4 Hg 3.18-3.42
6 Hg 0.1417 0.1417 0.5750  1 Er 3.13, 6 Hg 3.18-3.19, 1 Pb 3.29
7 Pb 0.0000 0.0000 0.0000  6 Er 3.25, 2 Hg 3.29

## Properties
density of states at the Fermi level	3.11	states/eV/cell
symmetry	R-3m
crystal system	trigonal



Version Q
Density functional theory data (PBE) for a relaxed structure of Er2Hg4Pb.

Unit cell a=5.6415 b=5.6415 c=8.5928 alpha=109.16 beta=109.16 gamma=90.00
Closest atoms and distances in Å follow each position.
Atoms (fractional coordinates):
1 Pb 0.0000 0.0000 0.0000  6 Hg 2.82-3.06
2 Hg 0.2012 0.2012 0.4024  1 Er 2.95, 1 Pb 3.06
3 Hg 0.5000 0.0000 0.0000  2 Pb 2.82
4 Hg 0.7988 0.7988 0.5976  1 Er 2.95, 1 Pb 3.06
5 Hg 0.0000 0.5000 0.0000  2 Pb 2.82
6 Er 0.6052 0.6052 0.2105  5 Hg 2.95-3.24, 1 Er 3.20
7 Er 0.3948 0.3948 0.7895  5 Hg 2.95-3.24, 1 Er 3.20

## Properties
density of states at the Fermi level	6.19	states/eV/cell
symmetry	I4/mmm
crystal system	tetragonal



Energy comparison, zero being the most stable, in meV/atom: version P 0; version Q 455.